# 1
Entry from the Alexandria database: a relaxed structure of LiTeC3 (PBEsol).

a b c (Å): 3.8029 3.8029 3.8029
angles (deg): 90.00 90.00 90.00
Fractional positions:
Li (0.0000, 0.0000, 0.0000)
Te (0.5000, 0.5000, 0.5000)
C (0.0000, 0.0000, 0.5000)
C (0.0000, 0.5000, 0.0000)
C (0.5000, 0.0000, 0.0000)

Properties
ΔE_f (raw) = 2817 meV per atom
SG = Pm-3m, No. 221
Size of the total moment = 0.00 μB/cell
Crystal system = cubic

---

# 2
Entry from the Alexandria database: a relaxed structure of Li2TeC (PBEsol).

a b c (Å): 8.4224 8.4224 8.4224
angles (deg): 154.03 154.03 37.06
Fractional positions:
Li (0.0412, 0.6250, 0.9162)
Li (0.3750, 0.2912, 0.4162)
Li (0.7088, 0.1250, 0.0838)
Li (0.8750, 0.9588, 0.5838)
Te (0.2500, 0.7500, 0.5000)
Te (0.5000, 0.5000, 0.0000)
C (0.0000, 0.0000, 0.0000)
C (0.7500, 0.2500, 0.5000)

Properties
ΔE_f (raw) = 590 meV per atom
SG = I-42d, No. 122
Size of the total moment = 0.00 μB/cell
Crystal system = tetragonal

---

# 3
Entry from the Alexandria database: a relaxed structure of LiTlC3 (PBEsol).

a b c (Å): 4.4259 4.4259 4.4259
angles (deg): 90.00 90.00 90.00
Fractional positions:
Li (0.0000, 0.0000, 0.0000)
Tl (0.5000, 0.5000, 0.5000)
C (0.0000, 0.5000, 0.5000)
C (0.5000, 0.0000, 0.5000)
C (0.5000, 0.5000, 0.0000)

Properties
SG = Pm-3m, No. 221
Size of the total moment = 0.01 μB/cell
Crystal system = cubic
Calculated formation energy = 3.241 eV/atom

---

# 4
Entry from the Alexandria database: a relaxed structure of Li2TlC (PBEsol).

a b c (Å): 4.2070 4.2070 4.2070
angles (deg): 60.00 60.00 60.00
Fractional positions:
Li (0.2500, 0.2500, 0.2500)
Li (0.7500, 0.7500, 0.7500)
Tl (0.0000, 0.0000, 0.0000)
C (0.5000, 0.5000, 0.5000)

Properties
SG = Fm-3m, No. 225
Size of the total moment = 0.00 μB/cell
Crystal system = cubic
Calculated formation energy = 0.785 eV/atom

---

# 5
Entry from the Alexandria database: a relaxed structure of Li2ZnC (PBEsol).

a b c (Å): 6.2713 6.2713 6.2713
angles (deg): 94.98 94.98 145.71
Fractional positions:
Li (0.0000, 0.0000, 0.0000)
Li (0.0000, 0.0000, 0.5000)
Li (0.0000, 0.5000, 0.0000)
Li (0.5000, 0.0000, 0.5000)
Zn (0.3750, 0.6250, 0.7500)
Zn (0.6250, 0.3750, 0.2500)
C (0.1250, 0.8750, 0.2500)
C (0.8750, 0.1250, 0.7500)

Properties
SG = I4_1/amd, No. 141
Size of the total moment = 0.00 μB/cell
Crystal system = tetragonal
Calculated formation energy = 0.306 eV/atom

---

# 6
Entry from the Alexandria database: a relaxed structure of LiZrC2 (PBEsol).

a b c (Å): 6.6824 6.6824 6.6824
angles (deg): 148.46 148.46 45.21
Fractional positions:
Li (0.0000, 0.0000, 0.0000)
Li (0.7500, 0.2500, 0.5000)
Zr (0.2500, 0.7500, 0.5000)
Zr (0.5000, 0.5000, 0.0000)
C (0.3750, 0.2117, 0.3367)
C (0.7883, 0.1250, 0.1633)
C (0.8750, 0.0383, 0.6633)
C (0.9617, 0.6250, 0.8367)

Properties
SG = I-42d, No. 122
Size of the total moment = 0.00 μB/cell
Crystal system = tetragonal
Calculated formation energy = 0.695 eV/atom

---

# 7
Entry from the Alexandria database: a relaxed structure of Lu4C7 (PBEsol).

a b c (Å): 3.5508 13.4347 6.1931
angles (deg): 90.00 105.38 90.00
Fractional positions:
Lu (0.0606, 0.1596, 0.1634)
Lu (0.0606, 0.3404, 0.6634)
Lu (0.3657, 0.0546, 0.7394)
Lu (0.3657, 0.4454, 0.2394)
Lu (0.6343, 0.5546, 0.7606)
Lu (0.6343, 0.9454, 0.2606)
Lu (0.9394, 0.6596, 0.3366)
Lu (0.9394, 0.8404, 0.8366)
C (0.0000, 0.0000, 0.0000)
C (0.0000, 0.5000, 0.5000)
C (0.2680, 0.6026, 0.0498)
C (0.2680, 0.8974, 0.5498)
C (0.3723, 0.6977, 0.0415)
C (0.3723, 0.8023, 0.5415)
C (0.4653, 0.2132, 0.9241)
C (0.4653, 0.2868, 0.4241)
C (0.5347, 0.7132, 0.5759)
C (0.5347, 0.7868, 0.0759)
C (0.6277, 0.1977, 0.4585)
C (0.6277, 0.3023, 0.9585)
C (0.7320, 0.1026, 0.4502)
C (0.7320, 0.3974, 0.9502)

Properties
SG = P2_1/c, No. 14
Size of the total moment = 0.00 μB/cell
Crystal system = monoclinic
Calculated formation energy = -0.356 eV/atom

---

# 8
Entry from the Alexandria database: a relaxed structure of Lu2C3 (PBEsol).

a b c (Å): 6.8436 6.8436 6.8436
angles (deg): 109.47 109.47 109.47
Fractional positions:
Lu (0.0000, 0.0999, 0.5000)
Lu (0.0000, 0.5999, 0.5000)
Lu (0.0999, 0.5000, 0.0000)
Lu (0.4001, 0.4001, 0.4001)
Lu (0.5000, 0.0000, 0.0999)
Lu (0.5000, 0.0000, 0.5999)
Lu (0.5999, 0.5000, 0.0000)
Lu (0.9001, 0.9001, 0.9001)
C (0.0398, 0.7898, 0.2500)
C (0.2102, 0.9602, 0.2500)
C (0.2500, 0.0398, 0.7898)
C (0.2500, 0.2102, 0.9602)
C (0.2898, 0.5398, 0.7500)
C (0.4602, 0.7102, 0.7500)
C (0.5398, 0.7500, 0.2898)
C (0.7102, 0.7500, 0.4602)
C (0.7500, 0.2898, 0.5398)
C (0.7500, 0.4602, 0.7102)
C (0.7898, 0.2500, 0.0398)
C (0.9602, 0.2500, 0.2102)

Properties
SG = I-43d, No. 220
Size of the total moment = 0.00 μB/cell
Crystal system = cubic
Calculated formation energy = -0.340 eV/atom

---

# 9
Entry from the Alexandria database: a relaxed structure of Lu2Mo2C3 (PBEsol).

a b c (Å): 5.8065 5.8065 5.5403
angles (deg): 108.46 108.46 32.95
Fractional positions:
Lu (0.1160, 0.1160, 0.3180)
Lu (0.8840, 0.8840, 0.6820)
Mo (0.3525, 0.3525, 0.1351)
Mo (0.6475, 0.6475, 0.8649)
C (0.2322, 0.2322, 0.7530)
C (0.5000, 0.5000, 0.0000)
C (0.7678, 0.7678, 0.2470)

Properties
SG = C2/m, No. 12
Size of the total moment = 0.00 μB/cell
Crystal system = monoclinic
Calculated formation energy = -0.442 eV/atom

---

# 10
Entry from the Alexandria database: a relaxed structure of Na2LuPCO7 (PBEsol).

a b c (Å): 5.1768 6.8273 9.2064
angles (deg): 90.00 90.60 90.00
Fractional positions:
Na (0.2448, 0.0055, 0.2139)
Na (0.2448, 0.4945, 0.2139)
Na (0.7552, 0.5055, 0.7861)
Na (0.7552, 0.9945, 0.7861)
Lu (0.2112, 0.2500, 0.6310)
Lu (0.7888, 0.7500, 0.3690)
P (0.2976, 0.7500, 0.5788)
P (0.7024, 0.2500, 0.4212)
C (0.2619, 0.2500, 0.9185)
C (0.7381, 0.7500, 0.0815)
O (0.0345, 0.2500, 0.8550)
O (0.1949, 0.5646, 0.6534)
O (0.1949, 0.9354, 0.6534)
O (0.2070, 0.7500, 0.4162)
O (0.2954, 0.2500, 0.0538)
O (0.4012, 0.2500, 0.4190)
O (0.4566, 0.2500, 0.8265)
O (0.5434, 0.7500, 0.1735)
O (0.5988, 0.7500, 0.5810)
O (0.7046, 0.7500, 0.9462)
O (0.7930, 0.2500, 0.5838)
O (0.8051, 0.0646, 0.3466)
O (0.8051, 0.4354, 0.3466)
O (0.9655, 0.7500, 0.1450)

Properties
ΔE_f (raw) = -2394 meV per atom
SG = P2_1/m, No. 11
Size of the total moment = 0.04 μB/cell
Crystal system = monoclinic

---

# 11
Entry from the Alexandria database: a relaxed structure of Lu4Ni2C5 (PBEsol).

a b c (Å): 3.4624 11.2571 3.6022
angles (deg): 90.00 90.00 90.00
Fractional positions:
Lu (0.0000, 0.0000, 0.0000)
Lu (0.0000, 0.2969, 0.7158)
Lu (0.0000, 0.7031, 0.7158)
Lu (0.5000, 0.5000, 0.2192)
Ni (0.5000, 0.1149, 0.5119)
Ni (0.5000, 0.8851, 0.5119)
C (0.0000, 0.5000, 0.7242)
C (0.5000, 0.1669, 0.0121)
C (0.5000, 0.2728, 0.2170)
C (0.5000, 0.7272, 0.2170)
C (0.5000, 0.8331, 0.0121)

Properties
SG = Pmm2, No. 25
Size of the total moment = 0.00 μB/cell
Crystal system = orthorhombic
Calculated formation energy = -0.486 eV/atom

---

# 12
Entry from the Alexandria database: a relaxed structure of Lu3PbC (PBEsol).

a b c (Å): 4.7194 4.7194 4.7194
angles (deg): 90.00 90.00 90.00
Fractional positions:
Lu (0.0000, 0.0000, 0.5000)
Lu (0.0000, 0.5000, 0.0000)
Lu (0.5000, 0.0000, 0.0000)
Pb (0.5000, 0.5000, 0.5000)
C (0.0000, 0.0000, 0.0000)

Properties
SG = Pm-3m, No. 221
Size of the total moment = 0.00 μB/cell
Crystal system = cubic
Calculated formation energy = -0.631 eV/atom

---

# 13
Entry from the Alexandria database: a relaxed structure of Lu5Si3C (PBEsol).

a b c (Å): 8.1681 8.1681 6.1038
angles (deg): 90.00 90.00 120.00
Fractional positions:
Lu (0.0000, 0.2232, 0.2500)
Lu (0.0000, 0.7768, 0.7500)
Lu (0.2232, 0.0000, 0.2500)
Lu (0.2232, 0.2232, 0.7500)
Lu (0.3333, 0.6667, 0.0000)
Lu (0.3333, 0.6667, 0.5000)
Lu (0.6667, 0.3333, 0.0000)
Lu (0.6667, 0.3333, 0.5000)
Lu (0.7768, 0.0000, 0.7500)
Lu (0.7768, 0.7768, 0.2500)
Si (0.0000, 0.4083, 0.7500)
Si (0.0000, 0.5917, 0.2500)
Si (0.4083, 0.0000, 0.7500)
Si (0.4083, 0.4083, 0.2500)
Si (0.5917, 0.0000, 0.2500)
Si (0.5917, 0.5917, 0.7500)
C (0.0000, 0.0000, 0.0000)
C (0.0000, 0.0000, 0.5000)

Properties
ΔE_f (raw) = -702 meV per atom
SG = P6_3/mcm, No. 193
Size of the total moment = 0.00 μB/cell
Crystal system = hexagonal

---

# 14
Entry from the Alexandria database: a relaxed structure of MgC (PBEsol).

a b c (Å): 4.4581 4.4581 4.4402
angles (deg): 90.00 90.00 90.00
Fractional positions:
Mg (0.0000, 0.0000, 0.0000)
Mg (0.0000, 0.5000, 0.5000)
Mg (0.5000, 0.0000, 0.5000)
C (0.0000, 0.0000, 0.5000)
C (0.0000, 0.5000, 0.0000)
C (0.5000, 0.0000, 0.0000)

Properties
SG = P4/mmm, No. 123
Energy relative to the lowest polymorph listed for this composition = 1.1723 eV/atom
Size of the total moment = 0.00 μB/cell
Crystal system = tetragonal
Calculated formation energy = 1.613 eV/atom

---

# 15
Entry from the Alexandria database: a relaxed structure of MgC2 (PBEsol).

a b c (Å): 2.5933 2.5933 10.7421
angles (deg): 90.00 90.00 120.00
Fractional positions:
Mg (0.3333, 0.6667, 0.2500)
Mg (0.6667, 0.3333, 0.7500)
C (0.3333, 0.6667, 0.5017)
C (0.3333, 0.6667, 0.9983)
C (0.6667, 0.3333, 0.0017)
C (0.6667, 0.3333, 0.4983)

Properties
SG = P6_3/mmc, No. 194
Energy relative to the lowest polymorph listed for this composition = 0.0000 eV/atom
Size of the total moment = 0.00 μB/cell
Crystal system = hexagonal
Calculated formation energy = 0.451 eV/atom

---

# 16
Entry from the Alexandria database: a relaxed structure of Mg5C (PBEsol).

a b c (Å): 5.6250 5.6250 6.6829
angles (deg): 97.15 97.15 32.73
Fractional positions:
Mg (0.0000, 0.0000, 0.0000)
Mg (0.0820, 0.0820, 0.4043)
Mg (0.2807, 0.2807, 0.1820)
Mg (0.3870, 0.3870, 0.6250)
Mg (0.6889, 0.6889, 0.8150)
C (0.6293, 0.6293, 0.1475)

Properties
SG = Cm, No. 8
Size of the total moment = 0.02 μB/cell
Crystal system = monoclinic
Calculated formation energy = 0.323 eV/atom

---

# 17
Entry from the Alexandria database: a relaxed structure of Mg8C (PBEsol).

a b c (Å): 7.9819 7.9819 7.9819
angles (deg): 92.07 92.07 158.08
Fractional positions:
Mg (0.0000, 0.3336, 0.3336)
Mg (0.0000, 0.6664, 0.6664)
Mg (0.3336, 0.0000, 0.3336)
Mg (0.3730, 0.3730, 0.7459)
Mg (0.3730, 0.6270, 0.0000)
Mg (0.6270, 0.3730, 0.0000)
Mg (0.6270, 0.6270, 0.2541)
Mg (0.6664, 0.0000, 0.6664)
C (0.0000, 0.0000, 0.0000)

Properties
SG = I4/mmm, No. 139
Size of the total moment = 0.00 μB/cell
Crystal system = tetragonal
Calculated formation energy = 0.380 eV/atom

---

# 18
Entry from the Alexandria database: a relaxed structure of MgC4 (PBEsol).

a b c (Å): 2.6254 2.6254 6.5982
angles (deg): 90.00 90.00 120.00
Fractional positions:
Mg (0.0000, 0.0000, 0.0000)
C (0.3333, 0.6667, 0.2353)
C (0.3333, 0.6667, 0.4557)
C (0.6667, 0.3333, 0.5443)
C (0.6667, 0.3333, 0.7647)

Properties
SG = P-3m1, No. 164
Energy relative to the lowest polymorph listed for this composition = 0.0000 eV/atom
Size of the total moment = 0.00 μB/cell
Crystal system = trigonal
Calculated formation energy = 1.102 eV/atom

---

# 19
Entry from the Alexandria database: a relaxed structure of MgC2 (PBEsol).

a b c (Å): 3.5860 3.5860 11.9501
angles (deg): 90.00 90.00 120.00
Fractional positions:
Mg (0.0000, 0.0000, 0.0000)
Mg (0.3333, 0.6667, 0.6420)
Mg (0.6667, 0.3333, 0.3580)
C (0.0000, 0.0000, 0.4468)
C (0.0000, 0.0000, 0.5532)
C (0.3333, 0.6667, 0.8131)
C (0.3333, 0.6667, 0.9175)
C (0.6667, 0.3333, 0.0825)
C (0.6667, 0.3333, 0.1869)

Properties
SG = P-3m1, No. 164
Energy relative to the lowest polymorph listed for this composition = 0.3744 eV/atom
Size of the total moment = 0.00 μB/cell
Crystal system = trigonal
Calculated formation energy = 0.825 eV/atom

---

# 20
Entry from the Alexandria database: a relaxed structure of Mg4C5 (PBEsol).

a b c (Å): 6.6039 6.6039 6.6039
angles (deg): 92.30 92.30 156.90
Fractional positions:
Mg (0.0000, 0.2302, 0.2302)
Mg (0.0000, 0.7698, 0.7698)
Mg (0.2302, 0.0000, 0.2302)
Mg (0.7698, 0.0000, 0.7698)
C (0.0000, 0.0000, 0.0000)
C (0.2735, 0.2735, 0.5471)
C (0.2735, 0.7265, 0.0000)
C (0.7265, 0.2735, 0.0000)
C (0.7265, 0.7265, 0.4529)

Properties
SG = I4/mmm, No. 139
Size of the total moment = 0.00 μB/cell
Crystal system = tetragonal
Calculated formation energy = 0.837 eV/atom